CeGaGe2: relaxed, PBE-GGA.

## Properties
M_tot, Bohr magnetons per cell: 0.62
E_tot, eV/cell: -19.49
Relative energy among the computed polymorphs, meV/atom: 216
SG: P4/mmm (123)

a = 3.6190 Å, b = 3.6190 Å, c = 6.3145 Å
α = 90.00°, β = 90.00°, γ = 90.00°
Last column: magnetic moment on the atom in μB.
Sites, in units of the cell vectors:
Ge (0.0000, 0.0000, 0.7954)  0.00
Ge (0.0000, 0.0000, 0.2046)  0.00
Ga (0.5000, 0.5000, 0.0000)  0.00
Ce (0.5000, 0.5000, 0.5000)  0.53

***

Ce3Ga3Ge2: relaxed, PBE-GGA.

## Properties
M_tot, Bohr magnetons per cell: 4.85
E_tot, eV/cell: -81.62
Relative energy among the computed polymorphs, meV/atom: 0
SG: Cmcm (63)

a = 4.1675 Å, b = 6.0023 Å, c = 15.7927 Å
α = 90.00°, β = 90.00°, γ = 110.31°
Last column: magnetic moment on the atom in μB.
Sites, in units of the cell vectors:
Ce (0.8561, 0.7123, 0.4077)  0.69
Ce (0.1439, 0.2878, 0.9077)  0.69
Ce (0.8561, 0.7123, 0.0923)  0.69
Ce (0.1439, 0.2878, 0.5923)  0.69
Ce (0.5695, 0.1389, 0.2500)  0.64
Ce (0.4305, 0.8611, 0.7500)  0.64
Ga (0.5716, 0.1432, 0.4436)  0.01
Ga (0.4284, 0.8568, 0.9436)  0.01
Ga (0.5716, 0.1432, 0.0564)  0.01
Ga (0.4284, 0.8568, 0.5564)  0.01
Ga (0.3055, 0.6110, 0.2500)  0.02
Ga (0.6945, 0.3890, 0.7500)  0.02
Ge (0.8477, 0.6953, 0.8784)  -0.01
Ge (0.1523, 0.3047, 0.3784)  -0.01
Ge (0.8477, 0.6953, 0.6216)  -0.01
Ge (0.1523, 0.3047, 0.1216)  -0.01

***

Ce2GaGe: relaxed, PBE-GGA.

## Properties
M_tot, Bohr magnetons per cell: 5.03
E_tot, eV/cell: -43.90
SG: P2_1/m (11)

a = 4.0768 Å, b = 6.0144 Å, c = 8.6503 Å
α = 108.89°, β = 90.00°, γ = 90.00°
Last column: magnetic moment on the atom in μB.
Sites, in units of the cell vectors:
Ce (0.7500, 0.2126, 0.4275)  0.89
Ce (0.2500, 0.7874, 0.5725)  0.89
Ce (0.7500, 0.7173, 0.9292)  0.89
Ce (0.2500, 0.2827, 0.0708)  0.89
Ga (0.7500, 0.6388, 0.2863)  0.00
Ga (0.2500, 0.3612, 0.7137)  0.00
Ge (0.7500, 0.1396, 0.7877)  -0.02
Ge (0.2500, 0.8604, 0.2123)  -0.02

***

Ce2GaGe3Ir4: relaxed, PBE-GGA.

## Properties
M_tot, Bohr magnetons per cell: 0.95
E_tot, eV/cell: -71.94
SG: P-4m2 (115)

a = 4.2200 Å, b = 4.2200 Å, c = 10.3492 Å
α = 90.00°, β = 90.00°, γ = 90.00°
Last column: magnetic moment on the atom in μB.
Sites, in units of the cell vectors:
Ce (0.5000, 0.0000, 0.2548)  0.40
Ce (0.0000, 0.5000, 0.7452)  0.40
Ga (0.5000, 0.5000, 0.5000)  0.00
Ge (0.0000, 0.0000, 0.5000)  0.00
Ge (0.5000, 0.0000, 0.8698)  0.00
Ge (0.0000, 0.5000, 0.1302)  0.00
Ir (0.5000, 0.5000, 0.0000)  0.00
Ir (0.0000, 0.0000, 0.0000)  0.00
Ir (0.5000, 0.0000, 0.6344)  -0.01
Ir (0.0000, 0.5000, 0.3656)  -0.01